The following is a DFT calculation (PBE-GGA) of ErMgTc after structural relaxation.

Unit cell a=4.7346 b=4.7346 c=4.7346 alpha=60.00 beta=60.00 gamma=60.00
Closest atoms and distances in Å follow each position.
Element x y z (fractional)
Mg (0.2500, 0.2500, 0.2500)  4 Er 2.90
Er (0.0000, 0.0000, 0.0000)  4 Mg 2.90, 4 Tc 2.90
Tc (0.7500, 0.7500, 0.7500)  4 Er 2.90

For the final energy, the calculation gives -13.18 eV per formula unit.

The following is a DFT calculation (PBE-GGA) of Nd2TmAl3Cu2Ni after structural relaxation.

Unit cell a=4.0796 b=7.1071 c=7.1071 alpha=121.02 beta=90.00 gamma=90.00
Closest atoms and distances in Å follow each position.
Element x y z (fractional)
Al (0.5000, 0.7715, 0.7715)  2 Ni 2.63, 2 Cu 2.75, 2 Al 2.79
Al (0.5000, 0.0061, 0.2289)  2 Ni 2.58, 1 Cu 2.71, 2 Al 2.76-2.79
Al (0.5000, 0.2289, 0.0061)  2 Ni 2.58, 1 Cu 2.71, 2 Al 2.76-2.79
Nd (0.0000, 0.5856, 0.9983)  4 Cu 2.97-3.00, 1 Ni 2.97, 6 Al 3.27-3.28
Nd (0.0000, 0.9983, 0.5856)  4 Cu 2.97-3.00, 1 Ni 2.97, 6 Al 3.27-3.28
Cu (0.5000, 0.3373, 0.6539)  3 Al 2.71-2.97, 2 Tm 2.89, 4 Nd 2.97-3.00
Cu (0.5000, 0.6539, 0.3373)  3 Al 2.71-2.97, 2 Tm 2.89, 4 Nd 2.97-3.00
Ni (0.0000, 0.0088, 0.0088)  6 Al 2.58-2.63, 1 Tm 2.80
Tm (0.0000, 0.4095, 0.4095)  1 Ni 2.80, 4 Cu 2.89

For the final energy, the calculation gives -42.35 eV per formula unit.

The following is a DFT calculation (PBE-GGA) of SmAgPbSe3 after structural relaxation.

Unit cell a=7.8947 b=4.1829 c=10.1316 alpha=90.00 beta=105.41 gamma=90.00
Closest atoms and distances in Å follow each position.
Element x y z (fractional)
Ag (0.9106, 0.7500, 0.9092)  4 Se 2.64-2.93, 2 Ag 2.89
Ag (0.0894, 0.2500, 0.0908)  4 Se 2.64-2.93, 2 Ag 2.89
Pb (0.2621, 0.2500, 0.8007)  7 Se 3.15-3.48
Pb (0.7379, 0.7500, 0.1993)  7 Se 3.15-3.48
Se (0.4295, 0.7500, 0.6399)  3 Sm 2.93-2.95, 2 Pb 3.15
Se (0.7115, 0.2500, 0.9573)  3 Ag 2.74-2.93, 1 Sm 3.00
Se (0.0427, 0.2500, 0.3397)  1 Ag 2.64, 2 Sm 2.92
Se (0.2885, 0.7500, 0.0427)  3 Ag 2.74-2.93, 1 Sm 3.00
Se (0.9573, 0.7500, 0.6603)  1 Ag 2.64, 2 Sm 2.92
Se (0.5705, 0.2500, 0.3601)  3 Sm 2.93-2.95, 2 Pb 3.15
Sm (0.3008, 0.7500, 0.3408)  6 Se 2.92-3.00
Sm (0.6992, 0.2500, 0.6592)  6 Se 2.92-3.00

For the final energy, the calculation gives -27.54 eV per formula unit. Its energy above the lowest structure with this stoichiometry is 0.02 eV per formula unit.

The following is a DFT calculation (PBE-GGA) of Al2Ir2O5 after structural relaxation.

Unit cell a=7.6840 b=3.4781 c=3.4781 alpha=90.00 beta=90.00 gamma=90.00
Closest atoms and distances in Å follow each position.
Element x y z (fractional)
Ir (0.5000, 0.0000, 0.0000)  4 O 2.46
Ir (0.0000, 0.0000, 0.0000)  8 O 2.14
Al (0.7363, 0.5000, 0.5000)  5 O 1.82-1.91
Al (0.2637, 0.5000, 0.5000)  5 O 1.82-1.91
O (0.1624, 0.5000, 0.0000)  2 Al 1.91
O (0.8376, 0.0000, 0.5000)  2 Al 1.91
O (0.1624, 0.0000, 0.5000)  2 Al 1.91
O (0.5000, 0.5000, 0.5000)  2 Al 1.82
O (0.8376, 0.5000, 0.0000)  2 Al 1.91

For the final energy, the calculation gives -59.80 eV per formula unit. Its energy above the lowest structure with this stoichiometry is 0.00 eV per formula unit.

The following is a DFT calculation (PBE-GGA) of PmAgGe after structural relaxation.

Unit cell a=4.7034 b=4.7034 c=4.7034 alpha=60.00 beta=60.00 gamma=60.00
Closest atoms and distances in Å follow each position.
Element x y z (fractional)
Ag (0.0000, 0.0000, 0.0000)  4 Pm 2.88, 4 Ge 2.88
Ge (0.2500, 0.2500, 0.2500)  4 Ag 2.88
Pm (0.7500, 0.7500, 0.7500)  4 Ag 2.88

For the final energy, the calculation gives -13.52 eV per formula unit. Its energy above the lowest structure with this stoichiometry is 0.56 eV per formula unit.